# MgV8O8F8 | Alexandria | PBE+U | optimized geometry
data_MgV8O8F8
_cell_length_a 4.9461
_cell_length_b 5.6970
_cell_length_c 10.6379
_cell_angle_alpha 96.03
_cell_angle_beta 92.17
_cell_angle_gamma 94.43
_space_group_name_H-M_alt 'P 1'
_space_group_IT_number 1
loop_
_space_group_symop_operation_xyz
'x,y,z'
loop_
_atom_site_label
_atom_site_fract_x
_atom_site_fract_y
_atom_site_fract_z
Mg1 0.0000 0.0000 0.0000
V1 0.0110 0.5567 0.8567
V2 0.0148 0.8270 0.6013
V3 0.4576 0.5984 0.3789
V4 0.4647 0.8403 0.1168
V5 0.4950 0.0874 0.8620
V6 0.5120 0.3332 0.6255
V7 0.9006 0.4145 0.1662
V8 0.9739 0.0942 0.3699
O1 0.1750 0.8169 0.4452
O2 0.2641 0.5642 0.2048
O3 0.2865 0.8103 0.9332
O4 0.3022 0.0627 0.6957
O5 0.6740 0.6143 0.5568
O6 0.6821 0.1549 0.0415
O7 0.7030 0.3569 0.7979
O8 0.7483 0.3799 0.3168
F1 0.1438 0.0492 0.1812
F2 0.1875 0.2905 0.9358
F3 0.1942 0.5475 0.6891
F4 0.2845 0.3161 0.4568
F5 0.6608 0.8642 0.2937
F6 0.7924 0.1142 0.5500
F7 0.8176 0.6602 0.0368
F8 0.8218 0.8666 0.8124
# E_tot = -6.9401 eV per atom
# ΔE to the lowest computed polymorph = 0.019 eV/atom
# DOS(E_F) = 0.9 states/eV/f.u.